Entry 1:
{"formula": "Mg5Te3", "functional": "PBE", "state": "relaxed", "lattice_angstrom": [[8.136, 0.000, 0.000], [-4.068, 7.046, 0.000], [0.000, 0.000, 7.762]], "species": ["Te", "Mg", "Mg", "Mg", "Te", "Te", "Mg", "Te", "Mg", "Mg", "Mg", "Mg", "Te", "Mg", "Te", "Mg"], "fractional_positions": [[0.558, 0.558, 0.750], [0.793, 0.793, 0.250], [0.793, 0.000, 0.750], [0.000, 0.207, 0.250], [0.558, 0.000, 0.250], [0.000, 0.558, 0.250], [0.667, 0.333, 0.000], [0.442, 0.442, 0.250], [0.667, 0.333, 0.500], [0.333, 0.667, 0.500], [0.207, 0.207, 0.750], [0.333, 0.667, 0.000], [0.000, 0.442, 0.750], [0.207, 0.000, 0.250], [0.442, 0.000, 0.750], [0.000, 0.793, 0.750]], "dos_at_fermi_per_ev_cell": 5.45, "rho_g_cm3": 3.76, "total_energy_ev_per_cell": -40.218, "formation_energy_uncorrected_ev_per_atom": -0.339, "vol_a3_per_cell": 445, "magmom_total_mub_per_fu": 0.00, "crystal_system": "hexagonal"}

---

Entry 2:
{"formula": "Mg2Te3", "functional": "PBE", "state": "relaxed", "lattice_angstrom": [[-4.656, 0.060, -2.445], [2.671, -4.507, 0.459], [-2.809, -1.122, 5.323]], "species": ["Te", "Te", "Mg", "Mg", "Te"], "fractional_positions": [[0.000, 0.000, 0.000], [0.667, 0.333, 0.718], [0.667, 0.333, 0.216], [0.333, 0.667, 0.784], [0.333, 0.667, 0.282]], "dos_at_fermi_per_ev_cell": 3.94, "rho_g_cm3": 4.89, "total_energy_ev_per_cell": -14.173, "formation_energy_uncorrected_ev_per_atom": -0.312, "vol_a3_per_cell": 147, "magmom_total_mub_per_fu": 0.00, "crystal_system": "trigonal"}

---

Entry 3:
{"formula": "Mg5Te", "functional": "PBE", "state": "relaxed", "lattice_angstrom": [[-5.873, 1.942, 0.552], [-5.100, -3.544, -0.027], [-3.822, -1.043, 4.783]], "species": ["Mg", "Mg", "Mg", "Mg", "Te", "Mg"], "fractional_positions": [[0.330, 0.670, 0.000], [0.000, 0.330, 0.670], [0.670, 0.000, 0.330], [0.171, 0.171, 0.171], [0.500, 0.500, 0.500], [0.829, 0.829, 0.829]], "dos_at_fermi_per_ev_cell": 2.61, "rho_g_cm3": 2.90, "total_energy_ev_per_cell": -11.660, "formation_energy_uncorrected_ev_per_atom": -0.091, "vol_a3_per_cell": 143, "magmom_total_mub_per_fu": 0.00, "crystal_system": "trigonal"}

---

Entry 4:
{"formula": "Mg5Te3", "functional": "PBE", "state": "relaxed", "lattice_angstrom": [[3.548, -5.424, 0.000], [3.548, 5.424, 0.000], [0.000, 0.000, 5.373]], "species": ["Mg", "Mg", "Te", "Te", "Mg", "Mg", "Mg", "Te"], "fractional_positions": [[0.000, 0.500, 0.000], [0.000, 0.000, 0.000], [0.500, 0.500, 0.000], [0.809, 0.191, 0.500], [0.714, 0.714, 0.500], [0.286, 0.286, 0.500], [0.500, 0.000, 0.000], [0.191, 0.809, 0.500]], "dos_at_fermi_per_ev_cell": 2.83, "rho_g_cm3": 4.05, "total_energy_ev_per_cell": -19.927, "formation_energy_uncorrected_ev_per_atom": -0.316, "vol_a3_per_cell": 207, "magmom_total_mub_per_fu": 0.00, "crystal_system": "orthorhombic"}

---

Entry 5:
{"formula": "Mg2Te3", "functional": "PBE", "state": "relaxed", "lattice_angstrom": [[0.000, 6.280, 6.552], [3.536, 0.000, 6.552], [3.536, 6.280, 0.000]], "species": ["Mg", "Te", "Te", "Mg", "Te", "Mg", "Mg", "Te", "Te", "Te"], "fractional_positions": [[0.332, 0.762, 0.399], [0.686, 0.482, 0.917], [0.060, 0.940, 0.940], [0.488, 0.918, 0.744], [0.310, 0.190, 0.190], [0.851, 0.744, 0.918], [0.506, 0.399, 0.762], [0.333, 0.334, 0.564], [0.768, 0.564, 0.334], [0.916, 0.917, 0.482]], "dos_at_fermi_per_ev_cell": 5.54, "rho_g_cm3": 4.92, "total_energy_ev_per_cell": -29.540, "formation_energy_uncorrected_ev_per_atom": -0.431, "vol_a3_per_cell": 291, "magmom_total_mub_per_fu": 0.00, "crystal_system": "orthorhombic"}

---

Entry 6:
{"formula": "MgTe2", "functional": "PBE", "state": "relaxed", "lattice_angstrom": [[2.349, -6.406, 0.000], [2.349, 6.406, 0.000], [0.000, 0.000, 5.900]], "species": ["Mg", "Te", "Te", "Te", "Te", "Mg"], "fractional_positions": [[0.677, 0.323, 0.750], [0.313, 0.687, 0.750], [0.967, 0.033, 0.250], [0.033, 0.967, 0.750], [0.687, 0.313, 0.250], [0.323, 0.677, 0.250]], "dos_at_fermi_per_ev_cell": 3.25, "rho_g_cm3": 5.23, "total_energy_ev_per_cell": -18.091, "formation_energy_uncorrected_ev_per_atom": -0.389, "vol_a3_per_cell": 178, "magmom_total_mub_per_fu": 0.00, "crystal_system": "orthorhombic"}

---

Entry 7:
{"formula": "Mg8Te", "functional": "PBE", "state": "relaxed", "lattice_angstrom": [[-5.008, 5.008, 2.127], [5.008, -5.008, 2.127], [5.008, 5.008, -2.127]], "species": ["Mg", "Te", "Mg", "Mg", "Mg", "Mg", "Mg", "Mg", "Mg"], "fractional_positions": [[0.670, 0.670, 0.341], [0.000, 0.000, 0.000], [0.000, 0.340, 0.340], [0.330, 0.670, 0.000], [0.330, 0.330, 0.659], [0.000, 0.660, 0.660], [0.340, 0.000, 0.340], [0.670, 0.330, 0.000], [0.660, 0.000, 0.660]], "dos_at_fermi_per_ev_cell": 3.27, "rho_g_cm3": 2.51, "total_energy_ev_per_cell": -16.432, "formation_energy_uncorrected_ev_per_atom": -0.059, "vol_a3_per_cell": 213, "magmom_total_mub_per_fu": 0.00, "crystal_system": "tetragonal"}

---

Entry 8:
{"formula": "Mg3Te", "functional": "PBE", "state": "relaxed", "lattice_angstrom": [[-0.035, 5.396, -2.463], [-1.997, -4.456, -3.367], [-1.286, -0.274, 5.784]], "species": ["Mg", "Te", "Mg", "Mg"], "fractional_positions": [[0.500, 0.500, 0.000], [0.000, 0.500, 0.500], [0.000, 0.000, 0.000], [0.500, 0.000, 0.500]], "dos_at_fermi_per_ev_cell": 1.15, "rho_g_cm3": 3.35, "total_energy_ev_per_cell": -8.264, "formation_energy_uncorrected_ev_per_atom": -0.085, "vol_a3_per_cell": 99, "magmom_total_mub_per_fu": 0.00, "crystal_system": "trigonal"}

---

Entry 9:
{"formula": "MgTe2", "functional": "PBE", "state": "relaxed", "lattice_angstrom": [[2.163, 4.132, 0.020], [-2.163, 4.132, 0.020], [0.000, 2.542, 5.589]], "species": ["Te", "Mg", "Te"], "fractional_positions": [[0.106, 0.106, 0.749], [0.500, 0.500, 0.500], [0.894, 0.894, 0.251]], "dos_at_fermi_per_ev_cell": 0.30, "rho_g_cm3": 4.66, "total_energy_ev_per_cell": -9.326, "formation_energy_uncorrected_ev_per_atom": -0.483, "vol_a3_per_cell": 100, "magmom_total_mub_per_fu": 0.00, "crystal_system": "monoclinic"}

---

Entry 10:
{"formula": "MgTe2", "functional": "PBE", "state": "relaxed", "lattice_angstrom": [[-1.935, -0.345, 4.646], [2.352, -2.751, 3.514], [2.302, 2.281, 3.866]], "species": ["Te", "Te", "Mg"], "fractional_positions": [[0.750, 0.750, 0.750], [0.250, 0.250, 0.250], [0.000, 0.000, 0.000]], "dos_at_fermi_per_ev_cell": 2.09, "rho_g_cm3": 5.11, "total_energy_ev_per_cell": -8.647, "formation_energy_uncorrected_ev_per_atom": -0.256, "vol_a3_per_cell": 91, "magmom_total_mub_per_fu": 0.00, "crystal_system": "cubic"}

---

Entry 11:
{"formula": "Mg3Te", "functional": "PBE", "state": "relaxed", "lattice_angstrom": [[5.473, -0.022, 0.031], [4.121, 3.602, 0.031], [1.279, 0.477, 4.986]], "species": ["Mg", "Mg", "Mg", "Te"], "fractional_positions": [[0.742, 0.742, 0.744], [0.258, 0.258, 0.256], [0.500, 0.500, 0.500], [0.000, 0.000, 0.000]], "dos_at_fermi_per_ev_cell": 1.27, "rho_g_cm3": 3.38, "total_energy_ev_per_cell": -8.636, "formation_energy_uncorrected_ev_per_atom": -0.178, "vol_a3_per_cell": 99, "magmom_total_mub_per_fu": 0.00, "crystal_system": "monoclinic"}

---

Entry 12:
{"formula": "MgTe5", "functional": "PBE", "state": "relaxed", "lattice_angstrom": [[3.164, -5.481, 0.000], [3.164, 5.481, 0.000], [0.000, 0.000, 5.601]], "species": ["Mg", "Te", "Te", "Te", "Te", "Te"], "fractional_positions": [[0.000, 0.000, 0.000], [0.500, 0.000, 0.500], [0.333, 0.667, 0.000], [0.667, 0.333, 0.000], [0.000, 0.500, 0.500], [0.500, 0.500, 0.500]], "dos_at_fermi_per_ev_cell": 3.81, "rho_g_cm3": 5.66, "total_energy_ev_per_cell": -15.295, "formation_energy_uncorrected_ev_per_atom": 0.335, "vol_a3_per_cell": 194, "magmom_total_mub_per_fu": 0.00, "crystal_system": "hexagonal"}

---

Entry 13:
{"formula": "Mg5Te3", "functional": "PBE", "state": "relaxed", "lattice_angstrom": [[-5.186, 4.233, -5.421], [-0.285, -2.652, 9.693], [6.361, 6.250, -1.727]], "species": ["Mg", "Mg", "Te", "Mg", "Mg", "Mg", "Mg", "Te", "Te", "Mg", "Mg", "Mg", "Te", "Te", "Mg", "Te"], "fractional_positions": [[0.759, 0.191, 0.865], [0.239, 0.800, 0.612], [0.915, 0.472, 0.244], [0.240, 0.809, 0.135], [0.550, 0.757, 0.182], [0.073, 0.221, 0.600], [0.927, 0.779, 0.399], [0.596, 0.766, 0.501], [0.147, 0.261, 0.960], [0.873, 0.767, 0.730], [0.760, 0.200, 0.388], [0.449, 0.242, 0.818], [0.404, 0.234, 0.500], [0.084, 0.528, 0.755], [0.126, 0.233, 0.270], [0.852, 0.739, 0.040]], "dos_at_fermi_per_ev_cell": 0.56, "rho_g_cm3": 3.58, "total_energy_ev_per_cell": -41.644, "formation_energy_uncorrected_ev_per_atom": -0.428, "vol_a3_per_cell": 468, "magmom_total_mub_per_fu": 0.00, "crystal_system": "triclinic"}